[1]
30
Lattice="6.347 -0.014 -0.004 -1.064 7.598 -0.029 -3.108 -1.694 7.473" Properties=species:S:1:pos:R:3 comment="Cu4As2O9 (GGA-PBEsol, optimized geometry)" total_energy_ev_per_atom=-5.793 sg="No. 2" volume_a3_per_cell=359.9 n_ef_per_ev_cell=5.56 raw_formation_energy_kcal_per_mol_atoms=-18.61 polymorph_energy_mev_per_atom=6 pbc="T T T"
Cu 1.183 1.664 5.506
Cu -0.281 6.551 0.612
Cu -0.385 5.390 4.088
Cu -2.068 1.457 5.466
Cu 2.456 -0.660 6.829
Cu 0.992 4.226 1.934
Cu 4.243 4.434 1.974
Cu 2.560 0.501 3.353
As -0.526 1.184 2.605
As 2.593 2.037 0.626
As 2.701 4.707 4.835
As -0.418 3.854 6.815
O -0.251 5.354 6.008
O 0.674 0.525 3.663
O -1.940 0.703 7.238
O 4.115 5.188 0.202
O 2.681 3.285 1.872
O 0.911 0.480 7.134
O -3.544 5.666 6.300
O -0.506 2.606 5.568
O 2.639 0.440 5.282
O 5.719 0.225 1.141
O -2.227 4.980 3.892
O -0.464 5.451 2.159
O 1.264 5.411 0.306
O 2.426 0.537 1.432
O -0.403 2.852 2.313
O 2.577 3.039 5.127
O 4.402 0.911 3.548
O 1.501 5.366 3.778

---

[2]
5
Lattice="-0.081 3.046 5.627 2.806 -5.040 2.769 5.750 2.502 -1.272" Properties=species:S:1:pos:R:3 comment="Ba3SrPb (GGA-PBEsol, optimized geometry)" total_energy_ev_per_atom=-1.828 sg="No. 221" volume_a3_per_cell=262.0 n_ef_per_ev_cell=6.63 ef_ev_per_fu=3.15 pbc="T T T"
Pb 4.238 0.254 3.562
Sr 0.000 0.000 0.000
Ba 1.403 -2.520 1.385
Ba 2.875 1.251 -0.636
Ba -0.040 1.523 2.813

---

[3]
5
Lattice="-0.263 0.410 -4.689 -2.947 -3.677 -0.156 -4.143 3.298 0.520" Properties=species:S:1:pos:R:3 comment="CdSbOsSe2 (GGA-PBEsol, optimized geometry)" total_energy_ev_per_atom=-4.508 sg="No. 123" volume_a3_per_cell=118.3 n_ef_per_ev_cell=7.20 raw_formation_energy_kcal_per_mol_atoms=14.43 pbc="T T T"
Sb -3.676 0.015 -2.163
Os 0.000 0.000 0.000
Se -1.473 -1.838 -0.078
Se -0.131 0.205 -2.345
Cd -2.072 1.649 0.260

---

[4]
4
Lattice="2.898 0.000 0.000 0.000 4.415 0.000 0.000 0.000 4.429" Properties=species:S:1:pos:R:3 comment="TcRh2Se (GGA-PBEsol, optimized geometry)" total_energy_ev_per_atom=-7.626 sg="No. 47" volume_a3_per_cell=56.7 n_ef_per_ev_cell=5.79 raw_formation_energy_kcal_per_mol_atoms=5.12 pbc="T T T"
Rh 0.000 0.000 0.000
Rh 1.449 0.000 2.214
Se 1.449 2.207 0.000
Tc 0.000 2.207 2.214

---

[5]
4
Lattice="5.163 0.000 0.000 2.582 4.472 0.000 2.582 1.491 4.216" Properties=species:S:1:pos:R:3 comment="HoErCd2 (GGA-PBEsol, optimized geometry)" total_energy_ev_per_atom=-3.409 sg="No. 225" volume_a3_per_cell=97.3 n_ef_per_ev_cell=4.04 ef_ev_per_fu=-1.37 pbc="T T T"
Er 5.163 2.981 2.108
Ho 0.000 0.000 0.000
Cd 7.745 4.472 3.162
Cd 2.582 1.491 1.054

---

[6]
6
Lattice="-2.634 -0.606 -0.285 0.437 -0.676 -2.595 2.121 -10.701 3.145" Properties=species:S:1:pos:R:3 comment="ZnIr5 (GGA-PBEsol, optimized geometry)" total_energy_ev_per_atom=-8.474 sg="No. 123" volume_a3_per_cell=83.8 n_ef_per_ev_cell=5.07 ef_ev_per_fu=-0.14 pbc="T T T"
Zn -1.098 -0.641 -1.440
Ir 1.767 -8.913 2.620
Ir 0.354 -1.788 0.525
Ir 0.321 -7.802 0.664
Ir -0.397 -4.182 -0.400
Ir 1.060 -5.351 1.573

---

[7]
4
Lattice="5.164 0.000 0.000 2.582 4.472 0.000 2.582 1.491 4.217" Properties=species:S:1:pos:R:3 comment="Sr2GaB (GGA-PBEsol, optimized geometry)" total_energy_ev_per_atom=-3.158 sg="No. 225" volume_a3_per_cell=97.4 n_ef_per_ev_cell=2.36 ef_ev_per_fu=1.41 pbc="T T T"
Sr 2.582 1.491 1.054
Sr 7.746 4.472 3.162
B 0.000 0.000 0.000
Ga 5.164 2.982 2.108

---

[8]
5
Lattice="-2.188 1.768 2.986 -0.444 -3.644 1.832 6.298 1.884 0.682" Properties=species:S:1:pos:R:3 comment="Tl2ZnRu2 (GGA-PBEsol, optimized geometry)" total_energy_ev_per_atom=-4.489 sg="No. 139" volume_a3_per_cell=99.9 n_ef_per_ev_cell=4.92 ef_ev_per_fu=4.74 pbc="T T T"
Ru 4.039 0.767 2.506
Ru -0.374 -0.759 2.993
Tl 2.269 -1.349 2.461
Tl 1.397 1.357 3.038
Zn 0.000 0.000 0.000

---

[9]
8
Lattice="3.499 0.000 0.000 0.000 5.916 -0.196 0.000 -1.214 6.589" Properties=species:S:1:pos:R:3 comment="AgBiO2 (GGA-PBEsol, optimized geometry)" total_energy_ev_per_atom=-5.275 sg="No. 11" volume_a3_per_cell=135.6 raw_formation_energy_kcal_per_mol_atoms=-17.33 pbc="T T T"
O 0.875 0.762 5.406
O 2.624 3.940 0.987
O 0.875 0.128 2.483
O 2.624 4.574 3.911
Bi 0.875 3.887 2.350
Bi 2.624 0.815 4.044
Ag 2.624 3.698 5.782
Ag 0.875 1.004 0.612

---

[10]
4
Lattice="-3.931 1.799 -0.196 -3.360 -2.298 -1.468 -3.103 -1.281 2.730" Properties=species:S:1:pos:R:3 comment="TlRe2H (GGA-PBEsol, optimized geometry)" total_energy_ev_per_atom=-6.365 sg="No. 225" volume_a3_per_cell=57.3 n_ef_per_ev_cell=3.61 pbc="T T T"
Re -2.599 -0.445 0.267
Re -7.796 -1.335 0.800
Tl -5.197 -0.890 0.533
H 0.000 0.000 0.000

---

[11]
16
Lattice="4.454 0.000 0.000 0.000 6.605 -0.002 -2.227 -1.651 6.140" Properties=species:S:1:pos:R:3 comment="Sc3RuC4 (GGA-PBEsol, optimized geometry)" total_energy_ev_per_atom=-9.107 sg="No. 12" volume_a3_per_cell=180.6 n_ef_per_ev_cell=4.25 ef_ev_per_fu=-4.29 pbc="T T T"
Sc 2.227 0.000 0.000
Sc 2.227 3.302 -0.001
Sc 2.227 4.955 3.814
Sc 0.000 -0.001 2.323
Sc 2.227 1.649 3.793
Sc 0.000 3.305 2.345
Ru 0.000 4.870 0.002
Ru 2.227 0.084 6.136
C -0.717 3.297 4.572
C 0.717 3.297 4.572
C 2.944 1.657 1.566
C 1.510 1.657 1.566
C 1.511 4.948 1.575
C 2.943 4.948 1.575
C 0.716 0.005 4.563
C -0.716 0.005 4.563

---

[12]
5
Lattice="-3.983 -0.610 -0.596 0.299 -3.665 1.753 -0.799 1.671 3.628" Properties=species:S:1:pos:R:3 comment="MnIr3O (GGA-PBEsol, optimized geometry)" total_energy_ev_per_atom=-8.142 sg="No. 221" volume_a3_per_cell=67.6 n_ef_per_ev_cell=5.03 raw_formation_energy_kcal_per_mol_atoms=17.40 pbc="T T T"
Ir 0.149 -1.832 0.877
Ir -0.399 0.835 1.814
Ir -1.992 -0.305 -0.298
O 0.000 0.000 0.000
Mn -2.242 -1.302 2.393

---

[13]
4
Lattice="-0.274 -2.861 -0.936 0.983 0.803 -2.743 8.689 -1.690 2.619" Properties=species:S:1:pos:R:3 comment="ReSeBr2 (GGA-PBEsol, optimized geometry)" total_energy_ev_per_atom=-4.970 sg="No. 99" volume_a3_per_cell=84.4 n_ef_per_ev_cell=2.13 raw_formation_energy_kcal_per_mol_atoms=6.01 polymorph_energy_mev_per_atom=0 pbc="T T T"
Br 8.668 -1.685 2.613
Br 3.149 -1.573 -0.997
Re 4.447 -0.865 1.340
Se 6.168 -2.160 -0.087

---

[14]
5
Lattice="-2.541 4.016 1.740 -3.178 -0.310 -3.926 -3.009 -3.064 2.678" Properties=species:S:1:pos:R:3 comment="In3CoOs (GGA-PBEsol, optimized geometry)" total_energy_ev_per_atom=-4.745 sg="No. 221" volume_a3_per_cell=129.6 n_ef_per_ev_cell=7.23 ef_ev_per_fu=5.18 pbc="T T T"
Co -4.364 0.321 0.246
Os 0.000 0.000 0.000
In -1.589 -0.155 -1.963
In -1.505 -1.532 1.339
In -1.270 2.008 0.870

---

[15]
4
Lattice="3.585 0.000 0.000 0.000 3.585 0.000 0.000 0.000 6.730" Properties=species:S:1:pos:R:3 comment="LaTa2Br (GGA-PBEsol, optimized geometry)" total_energy_ev_per_atom=-7.275 sg="No. 123" volume_a3_per_cell=86.5 n_ef_per_ev_cell=3.75 raw_formation_energy_kcal_per_mol_atoms=18.56 polymorph_energy_mev_per_atom=233 pbc="T T T"
La 1.792 1.792 3.365
Br 1.792 1.792 0.000
Ta 0.000 0.000 5.401
Ta 0.000 0.000 1.329

---

[16]
4
Lattice="-0.422 -1.561 -3.858 -2.758 -3.060 -0.728 -3.464 0.789 -2.208" Properties=species:S:1:pos:R:3 comment="Fe2HgN (GGA-PBEsol, optimized geometry)" total_energy_ev_per_atom=-5.532 sg="No. 225" volume_a3_per_cell=51.8 n_ef_per_ev_cell=3.59 raw_formation_energy_kcal_per_mol_atoms=28.20 pbc="T T T"
N 0.000 0.000 0.000
Hg -3.322 -1.916 -3.397
Fe -1.661 -0.958 -1.699
Fe -4.983 -2.874 -5.096

---

[17]
5
Lattice="3.647 0.000 0.000 0.000 3.647 0.000 -1.824 -1.824 5.571" Properties=species:S:1:pos:R:3 comment="Li2MgRe2 (GGA-PBEsol, optimized geometry)" total_energy_ev_per_atom=-5.873 sg="No. 139" volume_a3_per_cell=74.1 n_ef_per_ev_cell=2.26 ef_ev_per_fu=2.95 pbc="T T T"
Li 1.824 1.824 1.029
Li 0.000 0.000 4.542
Mg 0.000 0.000 0.000
Re 0.000 1.824 2.785
Re 1.824 0.000 2.785

---

[18]
14
Lattice="-6.720 0.939 1.900 2.637 -5.594 3.378 3.738 5.734 1.677" Properties=species:S:1:pos:R:3 comment="Hg3S2F2 (GGA-PBEsol, optimized geometry)" total_energy_ev_per_atom=-2.822 sg="No. 199" volume_a3_per_cell=269.4 n_ef_per_ev_cell=0.00 raw_formation_energy_kcal_per_mol_atoms=-17.89 pbc="T T T"
Hg 2.583 -3.137 3.378
Hg -3.593 2.149 2.252
Hg -0.403 4.502 3.659
Hg 0.059 -1.140 2.176
Hg -1.434 -0.087 5.085
Hg 1.750 0.949 4.316
S -0.382 0.984 3.209
S 4.759 2.481 3.233
S -2.826 0.395 0.799
S 1.841 2.952 1.391
F 1.002 -1.954 4.983
F 2.984 -0.242 2.436
F -2.061 -2.269 3.017
F -6.355 0.888 1.797

---

[19]
4
Lattice="-0.156 2.842 -0.086 -2.531 1.280 -0.253 -1.705 1.611 9.180" Properties=species:S:1:pos:R:3 comment="SrMnTc2 (GGA-PBEsol, optimized geometry)" total_energy_ev_per_atom=-7.652 sg="No. 166" volume_a3_per_cell=65.5 n_ef_per_ev_cell=4.68 ef_ev_per_fu=3.53 pbc="T T T"
Mn -2.196 2.867 4.420
Sr 0.000 0.000 0.000
Tc -1.136 1.444 2.649
Tc -3.255 4.289 6.192

---

[20]
4
Lattice="4.674 0.000 0.000 2.337 4.048 0.000 2.337 1.349 3.817" Properties=species:S:1:pos:R:3 comment="BaFeIr2 (GGA-PBEsol, optimized geometry)" total_energy_ev_per_atom=-6.719 sg="No. 216" volume_a3_per_cell=72.2 n_ef_per_ev_cell=4.17 ef_ev_per_fu=3.88 pbc="T T T"
Ba 4.674 2.699 1.908
Fe 2.337 1.349 0.954
Ir 0.000 0.000 0.000
Ir 7.012 4.048 2.862